[1]
DFT (PBE) results for a geometry-optimized PmEuGd structure.

Results
- density of states at the Fermi level (states/eV/f.u.) = 3.67
- E above lowest polymorph (kcal/mol of atoms) = 0.00
- energy relative to the elements (eV per atom) = 0.032
- V (Å³ per atom) = 35.640

Lattice parameters (Å, degrees): 8.2372 8.2372 8.2372 154.04 154.04 37.04
Closest atoms and distances in Å follow each position.
Fractional coordinates of all 3 atoms:
Pm 0.0000 0.0000 0.0000  4 Gd 3.52, 4 Pm 3.70, 4 Eu 3.75
Eu 0.6716 0.6716 0.0000  4 Eu 3.70, 4 Pm 3.75, 4 Gd 3.81
Gd 0.3491 0.3491 0.0000  4 Pm 3.52, 4 Gd 3.70, 4 Eu 3.81



[2]
DFT (PBE) results for a geometry-optimized PmEuGd structure.

Results
- density of states at the Fermi level (states/eV/f.u.) = 4.03
- E above lowest polymorph (kcal/mol of atoms) = 0.31
- energy relative to the elements (eV per atom) = 0.045
- V (Å³ per atom) = 35.420

Lattice parameters (Å, degrees): 3.6786 3.6786 9.0669 90.00 90.00 120.00
Closest atoms and distances in Å follow each position.
Fractional coordinates of all 3 atoms:
Pm 0.0000 0.0000 0.0000  3 Gd 3.54, 6 Pm 3.68, 3 Eu 3.80
Eu 0.6667 0.3333 0.3471  6 Eu 3.68, 3 Gd 3.75, 3 Pm 3.80
Gd 0.3333 0.6667 0.6873  3 Pm 3.54, 6 Gd 3.68, 3 Eu 3.75



[3]
DFT (PBE) results for a geometry-optimized PmEuGdSc structure.

Results
- density of states at the Fermi level (states/eV/f.u.) = 7.10
- energy relative to the elements (eV per atom) = 0.165
- V (Å³ per atom) = 32.190

Lattice parameters (Å, degrees): 5.6680 5.6680 5.6680 60.00 60.00 60.00
Closest atoms and distances in Å follow each position.
Fractional coordinates of all 4 atoms:
Pm 0.0000 0.0000 0.0000  4 Gd 3.47, 4 Sc 3.47
Eu 0.5000 0.5000 0.5000  4 Gd 3.47, 4 Sc 3.47
Gd 0.2500 0.2500 0.2500  4 Pm 3.47, 4 Eu 3.47
Sc 0.7500 0.7500 0.7500  4 Pm 3.47, 4 Eu 3.47



[4]
DFT (PBE) results for a geometry-optimized TbPmEuGd structure.

Results
- density of states at the Fermi level (states/eV/f.u.) = 6.79
- energy relative to the elements (eV per atom) = 0.132
- V (Å³ per atom) = 34.331

Lattice parameters (Å, degrees): 5.7910 5.7910 5.7910 60.00 60.00 60.00
Closest atoms and distances in Å follow each position.
Fractional coordinates of all 4 atoms:
Tb 0.0000 0.0000 0.0000  4 Gd 3.55, 4 Eu 3.55
Pm 0.5000 0.5000 0.5000  4 Gd 3.55, 4 Eu 3.55
Eu 0.2500 0.2500 0.2500  4 Tb 3.55, 4 Pm 3.55
Gd 0.7500 0.7500 0.7500  4 Tb 3.55, 4 Pm 3.55



Repeat the second record exactly.
DFT (PBE) results for a geometry-optimized PmEuGd structure.

Results
- density of states at the Fermi level (states/eV/f.u.) = 4.03
- E above lowest polymorph (kcal/mol of atoms) = 0.31
- energy relative to the elements (eV per atom) = 0.045
- V (Å³ per atom) = 35.420

Lattice parameters (Å, degrees): 3.6786 3.6786 9.0669 90.00 90.00 120.00
Closest atoms and distances in Å follow each position.
Fractional coordinates of all 3 atoms:
Pm 0.0000 0.0000 0.0000  3 Gd 3.54, 6 Pm 3.68, 3 Eu 3.80
Eu 0.6667 0.3333 0.3471  6 Eu 3.68, 3 Gd 3.75, 3 Pm 3.80
Gd 0.3333 0.6667 0.6873  3 Pm 3.54, 6 Gd 3.68, 3 Eu 3.75